*P*
This record from Alexandria describes crystalline BaTi2Tl at its relaxed geometry. The functional is PBE-GGA.

Lattice parameters (Å, degrees): 4.9144 4.9144 11.0684 77.17 77.17 90.00
With the nearest neighbours (Å) after each atom.
Atoms (fractional coordinates):
Ti: 0.3750 0.1408 0.7500  2 Ti 2.46
Ti: 0.8750 0.1092 0.7500  2 Ti 2.46
Tl: 0.0000 0.0000 0.0000  4 Ti 2.90
Ti: 0.8592 0.1250 0.2500  2 Ti 2.46
Tl: 0.7500 0.2500 0.5000  4 Ti 2.90
Ti: 0.8908 0.6250 0.2500  2 Ti 2.46
Ba: 0.2500 0.7500 0.5000  4 Tl 3.48, 8 Ti 3.75-3.85
Ba: 0.5000 0.5000 0.0000  4 Tl 3.48, 8 Ti 3.75-3.85

Symmetry: I-42d
DOS(E_F) (states/eV/atom): 1.800
V (Å³/f.u.): 126.9

***

*Q*
This record from Alexandria describes crystalline BaTi2Tl at its relaxed geometry. The functional is PBE-GGA.

Lattice parameters (Å, degrees): 5.0865 5.0865 5.0865 60.00 60.00 60.00
With the nearest neighbours (Å) after each atom.
Atoms (fractional coordinates):
Ba: 0.0000 0.0000 0.0000  8 Ti 3.11
Tl: 0.5000 0.5000 0.5000  8 Ti 3.11
Ti: 0.7500 0.7500 0.7500  4 Ba 3.11, 4 Tl 3.11
Ti: 0.2500 0.2500 0.2500  4 Ba 3.11, 4 Tl 3.11

Symmetry: Fm-3m
DOS(E_F) (states/eV/atom): 1.245
V (Å³/f.u.): 93.1

***

Which structure loses on stability? *Q* does.

***

*P*
This record from Alexandria describes crystalline BaTi3Tl at its relaxed geometry. The functional is PBE-GGA.

Lattice parameters (Å, degrees): 5.3781 5.3781 5.3781 90.00 90.00 90.00
With the nearest neighbours (Å) after each atom.
Atoms (fractional coordinates):
Ba: 0.5000 0.5000 0.5000  12 Ti 3.80
Ti: 0.5000 0.0000 0.0000  2 Tl 2.69
Ti: 0.0000 0.5000 0.0000  2 Tl 2.69
Ti: 0.0000 0.0000 0.5000  2 Tl 2.69
Tl: 0.0000 0.0000 0.0000  6 Ti 2.69

Symmetry: Pm-3m
DOS(E_F) (states/eV/atom): 1.994
V (Å³/f.u.): 155.6

***

*Q*
This record from Alexandria describes crystalline BaTi3Tl at its relaxed geometry. The functional is PBE-GGA.

Lattice parameters (Å, degrees): 5.0090 5.0090 5.0090 90.00 90.00 90.00
With the nearest neighbours (Å) after each atom.
Atoms (fractional coordinates):
Ti: 0.0000 0.0000 0.5000  2 Ba 2.50
Tl: 0.5000 0.5000 0.5000  12 Ti 3.54
Ti: 0.5000 0.0000 0.0000  2 Ba 2.50
Ti: 0.0000 0.5000 0.0000  2 Ba 2.50
Ba: 0.0000 0.0000 0.0000  6 Ti 2.50

Symmetry: Pm-3m
DOS(E_F) (states/eV/atom): 0.775
V (Å³/f.u.): 125.7

***

Which structure loses on stability? *Q* does.

***

*P*
This record from Alexandria describes crystalline BaTiV3 at its relaxed geometry. The functional is PBE-GGA.

Lattice parameters (Å, degrees): 4.7714 4.7714 4.7714 90.00 90.00 90.00
With the nearest neighbours (Å) after each atom.
Atoms (fractional coordinates):
V: 0.0000 0.5000 0.0000  2 Ba 2.39
Ti: 0.5000 0.5000 0.5000  12 V 3.37
V: 0.5000 0.0000 0.0000  2 Ba 2.39
Ba: 0.0000 0.0000 0.0000  6 V 2.39
V: 0.0000 0.0000 0.5000  2 Ba 2.39

Symmetry: Pm-3m
DOS(E_F) (states/eV/atom): 1.786
V (Å³/f.u.): 108.6

***

*Q*
This record from Alexandria describes crystalline BaTiV3 at its relaxed geometry. The functional is PBE-GGA.

Lattice parameters (Å, degrees): 4.9478 4.9478 4.9478 90.00 90.00 90.00
With the nearest neighbours (Å) after each atom.
Atoms (fractional coordinates):
V: 0.0000 0.0000 0.5000  2 Ti 2.47
Ti: 0.0000 0.0000 0.0000  6 V 2.47
V: 0.5000 0.0000 0.0000  2 Ti 2.47
V: 0.0000 0.5000 0.0000  2 Ti 2.47
Ba: 0.5000 0.5000 0.5000  12 V 3.50

Symmetry: Pm-3m
DOS(E_F) (states/eV/atom): 1.981
V (Å³/f.u.): 121.1

***

Which structure loses on stability? *P* does.